# 1
Computed, not measured: crystalline Er2Tc3Os at its relaxed geometry at the PBE level of DFT.

a b c (Å): 5.268 5.268 5.482
angles (deg): 119.05 119.05 60.20
Positions (direct):
1 Er 0.126 0.126 0.376
2 Er 0.874 0.874 0.624
3 Tc 0.000 0.500 0.000
4 Tc 0.500 0.000 0.000
5 Tc 0.500 0.500 0.000
6 Os 0.500 0.500 0.500

Properties
theoretical density = 12.44 g/cm³
formation enthalpy at 0 K = -0.231 eV per atom
spin magnetization = 0.00 μB per formula unit
SG = C2/m

***

# 2
Computed, not measured: crystalline ErTcOs at its relaxed geometry at the PBE level of DFT.

a b c (Å): 8.747 5.381 5.381
angles (deg): 58.90 90.00 90.00
Positions (direct):
1 Er 0.182 0.000 0.000
2 Er 0.314 0.669 0.669
3 Er 0.686 0.669 0.669
4 Er 0.818 0.000 0.000
5 Tc 0.249 0.335 0.335
6 Tc 0.500 0.163 0.678
7 Tc 0.500 0.678 0.163
8 Tc 0.751 0.335 0.335
9 Os 0.000 0.504 0.993
10 Os 0.000 0.510 0.510
11 Os 0.000 0.993 0.504
12 Os 0.500 0.162 0.162

Properties
theoretical density = 13.95 g/cm³
formation enthalpy at 0 K = -0.300 eV per atom
spin magnetization = 0.00 μB per formula unit
SG = Amm2

***

# 3
Computed, not measured: crystalline Er6Tc2Os at its relaxed geometry at the PBE level of DFT.

a b c (Å): 8.232 8.232 8.232
angles (deg): 110.89 108.87 108.67
Positions (direct):
1 Er 0.033 0.836 0.197
2 Er 0.251 0.328 0.579
3 Er 0.251 0.672 0.924
4 Er 0.272 0.582 0.309
5 Er 0.272 0.963 0.691
6 Er 0.360 0.164 0.197
7 Er 0.640 0.836 0.803
8 Er 0.728 0.037 0.309
9 Er 0.728 0.418 0.691
10 Er 0.749 0.328 0.076
11 Er 0.749 0.672 0.421
12 Er 0.967 0.164 0.803
13 Tc 0.000 0.177 0.177
14 Tc 0.000 0.823 0.823
15 Tc 0.380 0.380 0.000
16 Tc 0.620 0.620 0.000
17 Os 0.000 0.500 0.500
18 Os 0.500 0.000 0.500

Properties
theoretical density = 10.75 g/cm³
formation enthalpy at 0 K = -0.105 eV per atom
spin magnetization = 0.00 μB per formula unit
SG = Immm

***

# 4
Computed, not measured: crystalline ErThTcOs at its relaxed geometry at the PBE level of DFT.

a b c (Å): 4.905 4.905 4.905
angles (deg): 60.00 60.00 60.00
Positions (direct):
1 Er 0.000 0.000 0.000
2 Th 0.500 0.500 0.500
3 Tc 0.250 0.250 0.250
4 Os 0.750 0.750 0.750

Properties
theoretical density = 13.68 g/cm³
formation enthalpy at 0 K = -0.147 eV per atom
spin magnetization = 0.00 μB per formula unit
SG = F-43m

***

Going through the records in order, we get VASP energy values of -8.806; -9.019; -6.698; -8.542 eV/atom.